Entry 1:
Computed, not measured: YZrSbI2 after structural relaxation at the GGA-PBE level of DFT.

Results
Calculated total energy (eV/atom): -4.507
E above lowest polymorph (meV per atom): 0

Geometry as CIF:
```
data_YZrSbI2
_chemical_formula_sum 'Y1 Zr1 Sb1 I2'
_cell_length_a 5.5588
_cell_length_b 5.5588
_cell_length_c 5.7907
_cell_angle_alpha 90.00
_cell_angle_beta 90.00
_cell_angle_gamma 90.00
_space_group_name_H-M_alt 'P 1'
_space_group_IT_number 1
loop_
_space_group_symop_operation_xyz
'x,y,z'
loop_
_atom_site_label
_atom_site_type_symbol
_atom_site_fract_x
_atom_site_fract_y
_atom_site_fract_z
Y1 Y 0.5000 0.5000 0.5000
I1 I 0.0000 0.5000 0.0000
I2 I 0.5000 0.0000 0.0000
Zr1 Zr 0.0000 0.0000 0.0000
Sb1 Sb 0.0000 0.0000 0.5000
```


Entry 2:
Computed, not measured: YZrSb2I after structural relaxation at the GGA-PBE level of DFT.

Results
Calculated total energy (eV/atom): -5.008
E above lowest polymorph (meV per atom): 0

Geometry as CIF:
```
data_YZrSb2I
_chemical_formula_sum 'Y1 Zr1 Sb2 I1'
_cell_length_a 5.5849
_cell_length_b 5.5849
_cell_length_c 5.5234
_cell_angle_alpha 90.00
_cell_angle_beta 90.00
_cell_angle_gamma 90.00
_space_group_name_H-M_alt 'P 1'
_space_group_IT_number 1
loop_
_space_group_symop_operation_xyz
'x,y,z'
loop_
_atom_site_label
_atom_site_type_symbol
_atom_site_fract_x
_atom_site_fract_y
_atom_site_fract_z
I1 I 0.0000 0.0000 0.5000
Sb1 Sb 0.0000 0.5000 0.0000
Sb2 Sb 0.5000 0.0000 0.0000
Y1 Y 0.5000 0.5000 0.5000
Zr1 Zr 0.0000 0.0000 0.0000
```


Entry 3:
Computed, not measured: YZrSbI2 after structural relaxation at the GGA-PBE level of DFT.

Results
Calculated total energy (eV/atom): -4.243
E above lowest polymorph (meV per atom): 264

Geometry as CIF:
```
data_YZrSbI2
_chemical_formula_sum 'Y1 Zr1 Sb1 I2'
_cell_length_a 5.7548
_cell_length_b 5.7548
_cell_length_c 6.1005
_cell_angle_alpha 90.00
_cell_angle_beta 90.00
_cell_angle_gamma 90.00
_space_group_name_H-M_alt 'P 1'
_space_group_IT_number 1
loop_
_space_group_symop_operation_xyz
'x,y,z'
loop_
_atom_site_label
_atom_site_type_symbol
_atom_site_fract_x
_atom_site_fract_y
_atom_site_fract_z
Sb1 Sb 0.0000 0.0000 0.5000
I1 I 0.5000 0.0000 0.0000
I2 I 0.0000 0.5000 0.0000
Y1 Y 0.0000 0.0000 0.0000
Zr1 Zr 0.5000 0.5000 0.5000
```


Which formula does entry 3 have? YZrSbI2